(1)
Here is LaBe2Rh2 after structural relaxation from Alexandria. Energies are from PBE.

## Properties
The formation enthalpy at 0 K comes out at -2.09 eV per formula unit. The volume comes out at 15.0 A^3/atom.

Cell: 7.146 7.146 2.940 Å, 90.00 90.00 90.00°
Space group P4/mbm (No. 127)
Asymmetric unit:
La 0.000 0.000 0.000
Be 0.119 0.381 0.500
Rh 0.151 0.651 0.000

(2)
Here is CsTlAg2I4 after structural relaxation from Alexandria. Energies are from PBE.

## Properties
Its formation energy without anion corrections is -0.643 eV per atom. The volume comes out at 46.2 A^3/atom.

Cell: 8.520 9.197 9.435 Å, 90.00 90.00 90.00°
Space group I222 (No. 23)
Asymmetric unit:
Cs 0.000 0.000 0.000
Tl 0.000 0.000 0.500
Ag 0.000 0.500 0.163
I 0.229 0.306 0.801

(3)
Here is Ba2TlRhPb after structural relaxation from Alexandria. Energies are from PBE.

## Properties
The formation enthalpy at 0 K comes out at -1.38 eV per formula unit. The volume comes out at 38.4 A^3/atom.

Cell: 6.032 6.032 5.271 Å, 90.00 90.00 90.00°
Space group P4/mmm (No. 123)
Asymmetric unit:
Ba 0.000 0.500 0.000
Tl 0.000 0.000 0.500
Rh 0.500 0.500 0.000
Pb 0.500 0.500 0.500